Density functional theory data (PBE-GGA) for a relaxed OsAuSe2 crystal.

Its distance to the lowest polymorph of the same formula is 7.38 kcal/mol of atoms. As for the uncorrected formation energy: 0.4119 eV/atom. The total energy comes out at -4.96 eV/atom.

The structure belongs to space group R-3m (No. 166, hexagonal axes); the cell edges are 2.8194, 2.8194 and 36.0836 Å and the angles 90.00°, 90.00° and 120.00°. The asymmetric unit holds Os at (0.0000, 0.0000, 0.0000), Au at (0.0000, 0.0000, 0.5000) and Se at (0.0000, 0.0000, 0.0671).